Entry 1:
GGA-PBE AgC, optimized geometry; SG = P6_3/m
1.0
6.9257 0.0000 0.0000
-3.4628 5.9978 0.0000
0.0000 0.0000 4.3356
C Ag
6 6
Cartesian
-2.2307 3.9934 1.0839
5.6935 2.0044 3.2517
1.1198 2.0693 1.0839
2.3430 3.9285 3.2517
2.3520 0.0648 3.2517
1.1109 5.9330 1.0839
-2.1175 4.1087 3.2517
0.9634 2.1096 3.2517
1.1541 5.7773 3.2517
5.5804 1.8891 1.0839
2.3087 0.2205 1.0839
2.4994 3.8882 1.0839

Entry 2:
GGA-PBE Ag4C3, optimized geometry; SG = Pm-3m
1.0
4.5990 0.0000 0.0000
0.0000 4.5990 0.0000
0.0000 0.0000 4.5990
Ag C
4 3
Cartesian
2.2995 0.0000 2.2995
0.0000 0.0000 0.0000
2.2995 2.2995 0.0000
0.0000 2.2995 2.2995
0.0000 0.0000 2.2995
2.2995 0.0000 0.0000
0.0000 2.2995 0.0000

Entry 3:
GGA-PBE AgC, optimized geometry; SG = Cm
1.0
1.3433 4.1026 -0.6538
-1.3433 4.1026 -0.6538
0.0000 1.4117 8.6280
Ag C
3 3
Cartesian
0.0000 2.5328 7.6552
0.0000 4.4671 5.4353
0.0000 1.9365 3.9258
0.0000 1.2530 1.5238
0.0000 6.7032 5.0781
0.0000 5.3557 0.8708

Entry 4:
GGA-PBE AgC, optimized geometry; SG = P4/nmm
1.0
-2.0274 1.6082 0.1522
-0.8881 -0.9056 -2.2608
-3.7832 -5.1033 3.5304
Ag C
2 2
Cartesian
-1.3435 -0.6534 0.0464
-5.3552 -3.7473 1.3754
-2.6121 -2.3647 1.2302
-4.0866 -2.0360 0.1916

Entry 5:
GGA-PBE AgC, optimized geometry; SG = I4/mmm
1.0
-3.0111 -7.5978 -5.6001
9.4301 -2.1719 -2.1237
0.1064 -1.5862 2.0948
C Ag
8 8
Cartesian
1.5111 -3.0141 -0.7084
4.6674 -7.1058 -5.6177
6.0377 -3.6525 -3.0724
-0.1296 -7.1585 -3.7632
1.7516 -2.6639 -2.1061
0.3813 -6.1172 -4.6514
6.6550 -4.1974 -1.8658
5.0143 -8.3418 -4.9206
3.8135 -3.3612 -2.7388
5.1006 -5.3205 -4.2879
4.5811 -10.1271 -6.2504
-2.3539 -6.8672 -3.4296
1.9444 -1.2288 0.6214
1.3183 -4.4492 -3.4359
2.6055 -6.4085 -4.9850
8.8793 -4.4887 -2.1993

Entry 6:
GGA-PBE Ag3C5, optimized geometry; SG = P4/mmm
1.0
-1.6557 1.6945 0.9910
-1.1091 -1.8772 1.3568
8.3538 2.3045 10.0167
Ag C
3 5
Cartesian
5.8871 1.9140 9.8904
-0.2981 0.2078 2.4741
4.1769 1.1522 5.0084
0.0000 0.0000 0.0000
1.2065 0.6229 4.2782
4.3825 1.4990 8.0863
2.6548 0.7324 3.1833
5.6990 1.5721 6.8335

Entry 7:
GGA-PBE AgC, optimized geometry; SG = P6_3/mmc
1.0
-0.6518 1.7808 -2.6031
-2.3955 -1.0112 1.9004
0.4733 4.7044 3.0998
Ag C
2 2
Cartesian
0.0000 0.0000 0.0000
0.2366 2.3522 1.5499
-1.6960 1.0956 1.1742
-0.8781 4.3785 1.2229

Entry 8:
GGA-PBE AgC, optimized geometry; SG = Pnma
1.0
10.6444 0.0000 0.0000
0.0000 4.1769 0.0000
0.0000 0.0000 7.3851
Ag C
8 8
Cartesian
7.3898 3.1327 2.9374
3.2546 1.0442 4.4476
5.2275 1.0442 2.1838
10.5498 1.0442 1.5088
5.4169 3.1327 5.2013
2.0676 3.1327 0.7551
8.5769 1.0442 6.6300
0.0947 3.1327 5.8763
1.9625 1.0442 1.7525
3.3597 3.1327 5.4450
8.4843 1.0442 1.5394
3.1621 1.0442 2.1531
7.4823 3.1327 5.2319
2.1601 3.1327 5.8456
8.6820 3.1327 5.6326
7.2847 1.0442 1.9401

Entry 9:
GGA-PBE Ag4C3, optimized geometry; SG = P-43m
1.0
-3.4347 1.7457 -2.7949
-3.0543 -0.1710 3.6466
1.2370 4.4249 1.2436
C Ag
3 4
Cartesian
-0.9087 2.1269 2.4451
-1.0988 3.0853 -0.7757
-3.2445 0.7873 0.4258
-3.0715 2.3088 -1.0694
-0.4977 3.7849 1.1556
-4.0728 4.6525 1.6248
-2.8620 1.2528 2.4796

Entry 10:
GGA-PBE AgC, optimized geometry; SG = F-43m
1.0
-0.4138 -3.3039 1.0871
-0.2139 -2.5992 -2.3382
2.6306 -2.2908 -0.3178
Ag C
1 1
Cartesian
0.0000 0.0000 0.0000
1.5021 -6.1454 -1.1766

Entry 11:
GGA-PBE Ag5C4, optimized geometry; SG = I4/mmm
1.0
-3.8990 -3.7921 -2.9744
-2.8218 0.8425 5.4549
1.0139 5.3034 -3.0455
C Ag
4 5
Cartesian
-1.1733 0.6146 -2.4482
-0.7353 2.4994 0.9799
-1.0727 3.6465 1.4296
-1.7118 0.8967 -3.5717
-4.3192 0.0896 0.5027
-3.1403 -0.5279 2.9623
-1.3877 2.2643 -1.0676
-3.5804 -2.4216 -0.4818
0.0000 0.0000 0.0000

Entry 12:
GGA-PBE AgC, optimized geometry; SG = P6_3/mmc
1.0
-4.4766 0.5166 -2.2907
1.2734 -4.4222 2.0919
-2.2523 1.6048 4.7635
Ag C
4 4
Cartesian
-3.1230 -0.7285 0.3611
-2.3325 -1.5724 4.2037
-1.6892 1.2036 3.5726
-0.5631 0.4012 1.1909
-3.9891 -0.1114 2.1929
-4.5092 0.2591 3.2927
-1.4663 -2.1895 2.3718
-0.9463 -2.5600 1.2720

no.,total magnetic moment (μB per cell),energy (eV/cell),energy relative to the lowest polymorph listed for this composition (eV per atom)
1,0.00,-45.62,1.831
2,0.01,-26.04,0.000
3,0.00,-28.67,0.855
4,0.00,-17.02,1.379
5,0.00,-82.67,0.466
6,0.00,-35.87,1.393
7,0.00,-15.45,1.771
8,0.00,-81.93,0.512
9,0.00,-25.61,0.061
10,0.00,-7.53,1.870
11,0.00,-41.10,0.000
12,0.00,-38.46,0.825